Density functional theory data (PBE-GGA) for an optimized crystal structure of FeSiGe.

Cell lengths 5.5317, 5.5317, 5.5317 Å; angles 90.00, 90.00, 90.00 degrees
Space group F-43m (No. 216)
Unique sites:
Fe 0.0000 0.0000 0.0000 x4
Si 0.2500 0.2500 0.2500 x4
Ge 0.2500 0.2500 0.7500 x4

V ... 42 Å³/f.u.
Crystal system ... cubic



Density functional theory data (PBE-GGA) for an optimized crystal structure of LiAg5.

Cell lengths 5.5197, 5.5197, 4.7116 Å; angles 90.00, 90.00, 120.00 degrees
Space group P6/mmm (No. 191)
Unique sites:
Li 0.0000 0.0000 0.0000 x1
Ag 0.0000 0.5000 0.5000 x3
Ag 0.3333 0.6667 0.0000 x2

V ... 124 Å³/f.u.
Crystal system ... hexagonal



Density functional theory data (PBE-GGA) for an optimized crystal structure of GdScTe.

Cell lengths 6.9804, 6.9804, 6.9804 Å; angles 90.00, 90.00, 90.00 degrees
Space group F-43m (No. 216)
Unique sites:
Gd 0.0000 0.0000 0.0000 x4
Sc 0.0000 0.0000 0.5000 x4
Te 0.2500 0.2500 0.7500 x4

V ... 85 Å³/f.u.
Energy above the most stable polymorph in this dataset ... 0.000 eV per atom
Crystal system ... cubic



Density functional theory data (PBE-GGA) for an optimized crystal structure of Hf2SiB2.

Cell lengths 3.1286, 11.4794, 3.5954 Å; angles 90.00, 90.00, 90.00 degrees
Space group Cmmm (No. 65)
Unique sites:
Hf 0.0000 0.1357 0.0000 x4
Si 0.0000 0.5000 0.5000 x2
B 0.0000 0.2857 0.5000 x4

V ... 65 Å³/f.u.
Crystal system ... orthorhombic



Density functional theory data (PBE-GGA) for an optimized crystal structure of Gd2AlGaFe4.

Cell lengths 4.2039, 4.2039, 9.4147 Å; angles 90.00, 90.00, 120.00 degrees
Space group P-3m1 (No. 164)
Unique sites:
Gd 0.3333 0.6667 0.2499 x2
Al 0.0000 0.0000 0.0000 x1
Ga 0.0000 0.0000 0.5000 x1
Fe 0.3333 0.6667 0.5403 x2
Fe 0.3333 0.6667 0.9586 x2

V ... 144 Å³/f.u.
Crystal system ... trigonal



Density functional theory data (PBE-GGA) for an optimized crystal structure of SrCdGe2.

Cell lengths 7.3320, 7.3320, 7.3320 Å; angles 90.00, 90.00, 90.00 degrees
Space group F-43m (No. 216)
Unique sites:
Sr 0.0000 0.0000 0.0000 x4
Cd 0.2500 0.2500 0.2500 x4
Ge 0.0000 0.0000 0.5000 x4
Ge 0.2500 0.2500 0.7500 x4

V ... 99 Å³/f.u.
Crystal system ... cubic



Density functional theory data (PBE-GGA) for an optimized crystal structure of DyEr2TmAl4.

Cell lengths 6.7076, 4.4107, 13.3441 Å; angles 90.00, 90.00, 90.00 degrees
Space group Amm2 (No. 38)
Unique sites:
Dy 0.0000 0.0000 0.0000 x2
Er 0.0000 0.0000 0.2758 x2
Er 0.5000 0.0000 0.1725 x2
Tm 0.5000 0.0000 0.4470 x2
Al 0.1966 0.0000 0.6269 x4
Al 0.3044 0.0000 0.8207 x4

V ... 197 Å³/f.u.
Crystal system ... orthorhombic



Density functional theory data (PBE-GGA) for an optimized crystal structure of Sc2Ni2Pb.

Cell lengths 3.9239, 3.9239, 12.1413 Å; angles 90.00, 90.00, 90.00 degrees
Space group I4/mmm (No. 139)
Unique sites:
Sc 0.0000 0.0000 0.1212 x4
Ni 0.0000 0.5000 0.2500 x4
Pb 0.0000 0.0000 0.5000 x2

V ... 93 Å³/f.u.
Crystal system ... tetragonal



Ordered energy results: -6.168 -2.655 -5.182 -8.370 -6.321 -3.021 -4.528 -5.560; unit eV per atom.